1.
A plane-wave DFT calculation with PBE was carried out for a relaxed structure of SmTiZn2.

The structure in POSCAR format:
```
SmTiZn2
1.0
3.356 0.000 0.000
0.000 3.356 0.000
0.000 0.000 6.911
Sm Ti Zn
1 1 2
direct
0.000 0.000 0.000 Sm
0.000 0.000 0.500 Ti
0.500 0.500 0.299 Zn
0.500 0.500 0.701 Zn
```

Results
Formation energy from the elements: -184 meV per atom
Energy above the lowest structure with this stoichiometry: 0 meV/atom
Theoretical density: 7.019 g/cm3



2.
A plane-wave DFT calculation with PBE was carried out for a relaxed structure of Si2Ir2Pb.

The structure in POSCAR format:
```
Si2Ir2Pb
1.0
7.595 0.000 0.000
0.000 7.595 0.000
0.000 0.000 2.847
Si Ir Pb
4 4 2
direct
0.141 0.359 0.000 Si
0.359 0.859 0.000 Si
0.641 0.141 0.000 Si
0.859 0.641 0.000 Si
0.139 0.639 0.500 Ir
0.361 0.139 0.500 Ir
0.639 0.861 0.500 Ir
0.861 0.361 0.500 Ir
0.000 0.000 0.500 Pb
0.500 0.500 0.500 Pb
```

Results
Theoretical density: 13.100 g/cm3



3.
A plane-wave DFT calculation with PBE was carried out for a relaxed structure of Pu2U3TaN6.

The structure in POSCAR format:
```
Pu2U3TaN6
1.0
2.948 -5.087 0.000
2.948 5.087 0.000
-1.962 0.000 5.499
Pu U Ta N
2 3 1 6
direct
0.165 0.835 0.000 Pu
0.835 0.165 0.000 Pu
0.000 0.000 0.500 U
0.330 0.670 0.500 U
0.670 0.330 0.500 U
0.500 0.500 0.000 Ta
0.111 0.420 0.758 N
0.276 0.276 0.251 N
0.420 0.111 0.758 N
0.580 0.889 0.242 N
0.724 0.724 0.749 N
0.889 0.580 0.242 N
```

Results
Theoretical density: 14.773 g/cm3



4.
A plane-wave DFT calculation with PBE was carried out for a relaxed structure of TmZnN.

The structure in POSCAR format:
```
TmZnN
1.0
1.999 1.154 7.162
-1.999 1.154 7.162
0.000 -2.308 7.162
Tm Zn N
2 2 2
direct
0.111 0.111 0.111 Tm
0.889 0.889 0.889 Tm
0.313 0.313 0.313 Zn
0.687 0.687 0.687 Zn
0.215 0.215 0.215 N
0.785 0.785 0.785 N
```

Results
Theoretical density: 8.323 g/cm3



no.,final energy (eV per atom)
1,-3.974
2,-6.554
3,-11.644
4,-5.693